1.
Al4ZnFe after structural relaxation, computed with PBE-GGA.

For the formation energy, the calculation gives -0.055 eV/atom. As for the density of states at the Fermi level: 0.620 states/eV/atom. Its offset from the most stable computed form is 0.00 kcal/mol of atoms.

Cell and atoms, written as POSCAR:
```
Al4ZnFe
1.0
-2.948 2.967 5.737
2.948 -2.967 5.737
2.948 2.967 -5.737
Al Zn Fe
8 2 2
direct
0.000 0.226 0.226
0.000 0.774 0.774
0.276 0.000 0.776
0.276 0.500 0.276
0.500 0.226 0.726
0.500 0.774 0.274
0.724 0.000 0.224
0.724 0.500 0.724
0.124 0.374 0.750
0.876 0.626 0.250
0.375 0.125 0.250
0.625 0.875 0.750
```


2.
La6As3I2 after structural relaxation, computed with PBE-GGA.

As for the density of states at the Fermi level: 0.671 states/eV/atom. The calculation puts the energy relative to the elements, uncorrected at -1269 meV per atom.

Cell and atoms, written as POSCAR:
```
La6As3I2
1.0
3.806 -6.572 0.000
3.806 6.572 0.000
-2.548 0.000 7.444
La As I
6 3 2
direct
0.093 0.420 0.782
0.231 0.231 0.210
0.420 0.093 0.782
0.580 0.907 0.218
0.769 0.769 0.790
0.907 0.580 0.218
0.172 0.828 0.000
0.500 0.500 0.000
0.828 0.172 0.000
0.335 0.665 0.500
0.665 0.335 0.500
```


3.
KSrPd2F8 after structural relaxation, computed with PBE-GGA.

As for the density of states at the Fermi level: 0.598 states/eV/atom. The calculation puts the energy relative to the elements, uncorrected at -2133 meV per atom.

Cell and atoms, written as POSCAR:
```
KSrPd2F8
1.0
-3.043 3.043 4.949
3.043 -3.043 4.949
3.043 3.043 -4.949
K Sr Pd F
1 1 2 8
direct
0.000 0.000 0.000
0.750 0.250 0.500
0.250 0.750 0.500
0.500 0.500 0.000
0.107 0.447 0.064
0.171 0.394 0.598
0.383 0.043 0.936
0.427 0.829 0.223
0.553 0.617 0.660
0.606 0.204 0.777
0.796 0.573 0.402
0.957 0.893 0.340
```


4.
Li2Ag2HPd4 after structural relaxation, computed with PBE-GGA.

As for the density of states at the Fermi level: 0.411 states/eV/atom.

Cell and atoms, written as POSCAR:
```
Li2Ag2HPd4
1.0
-2.779 2.779 4.059
2.779 -2.779 4.059
2.779 2.779 -4.059
Li Ag H Pd
2 2 1 4
direct
0.244 0.244 0.000
0.756 0.756 0.000
0.250 0.750 0.500
0.750 0.250 0.500
0.500 0.500 0.000
0.250 0.250 0.500
0.250 0.750 0.000
0.750 0.250 0.000
0.750 0.750 0.500
```


5.
MnAsIr after structural relaxation, computed with PBE-GGA.

For the formation energy, the calculation gives 0.044 eV/atom. As for the density of states at the Fermi level: 0.550 states/eV/atom.

Cell and atoms, written as POSCAR:
```
MnAsIr
1.0
-1.504 1.950 3.845
1.504 -1.950 3.845
1.504 1.950 -3.845
Mn As Ir
1 1 1
direct
0.000 0.000 0.000
0.680 0.680 0.000
0.349 0.349 0.000
```


6.
LaPr3Sm3 after structural relaxation, computed with PBE-GGA.

For the formation energy, the calculation gives 0.120 eV/atom. As for the density of states at the Fermi level: 1.316 states/eV/atom. Its offset from the most stable computed form is 0.00 kcal/mol of atoms.

Cell and atoms, written as POSCAR:
```
LaPr3Sm3
1.0
4.803 2.773 6.357
-4.803 2.773 6.357
0.000 -5.546 6.357
La Pr Sm
2 6 6
direct
0.089 0.089 0.089
0.911 0.911 0.911
0.233 0.662 0.375
0.338 0.625 0.767
0.375 0.233 0.662
0.625 0.767 0.338
0.662 0.375 0.233
0.767 0.338 0.625
0.052 0.477 0.193
0.193 0.052 0.477
0.477 0.193 0.052
0.523 0.807 0.948
0.807 0.948 0.523
0.948 0.523 0.807
```


7.
Ac2Cd5Pd5 after structural relaxation, computed with PBE-GGA.

For the formation energy, the calculation gives -0.473 eV/atom. As for the density of states at the Fermi level: 0.533 states/eV/atom.

Cell and atoms, written as POSCAR:
```
Ac2Cd5Pd5
1.0
4.512 0.000 0.000
0.000 5.843 0.000
0.000 0.000 10.089
Ac Cd Pd
2 5 5
direct
0.000 0.000 0.000
0.000 0.500 0.500
0.000 0.000 0.326
0.000 0.000 0.674
0.000 0.500 0.167
0.000 0.500 0.833
0.500 0.000 0.500
0.500 0.252 0.250
0.500 0.252 0.750
0.500 0.500 0.000
0.500 0.748 0.250
0.500 0.748 0.750
```


8.
PuTi2C after structural relaxation, computed with PBE-GGA.

For the formation energy, the calculation gives -0.221 eV/atom. As for the density of states at the Fermi level: 1.958 states/eV/atom.

Cell and atoms, written as POSCAR:
```
PuTi2C
1.0
1.526 0.881 8.348
-1.526 0.881 8.348
0.000 -1.762 8.348
Pu Ti C
1 2 1
direct
0.000 0.000 0.000
0.121 0.121 0.121
0.879 0.879 0.879
0.500 0.500 0.500
```


9.
ZnOsBr2 after structural relaxation, computed with PBE-GGA.

As for the density of states at the Fermi level: 1.095 states/eV/atom. Its offset from the most stable computed form is 19.67 kcal/mol of atoms. The calculation puts the energy relative to the elements, uncorrected at 1037 meV per atom.

Cell and atoms, written as POSCAR:
```
ZnOsBr2
1.0
3.198 0.000 0.000
0.000 3.198 0.000
0.000 0.000 8.997
Zn Os Br
1 1 2
direct
0.000 0.000 0.000
0.000 0.000 0.500
0.500 0.500 0.323
0.500 0.500 0.677
```


10.
Eu2BeTe after structural relaxation, computed with PBE-GGA.

As for the density of states at the Fermi level: 3.545 states/eV/atom. Its offset from the most stable computed form is 0.00 kcal/mol of atoms. The calculation puts the energy relative to the elements, uncorrected at -461 meV per atom.

Cell and atoms, written as POSCAR:
```
Eu2BeTe
1.0
3.921 0.000 0.000
0.000 3.921 0.000
0.000 0.000 7.218
Eu Be Te
2 1 1
direct
0.000 0.000 0.238
0.000 0.000 0.762
0.500 0.500 0.000
0.500 0.500 0.500
```


11.
Ce2PaTc2 after structural relaxation, computed with PBE-GGA.

For the formation energy, the calculation gives -0.155 eV/atom. As for the density of states at the Fermi level: 1.572 states/eV/atom. Its offset from the most stable computed form is 0.00 kcal/mol of atoms.

Cell and atoms, written as POSCAR:
```
Ce2PaTc2
1.0
8.556 0.000 0.000
0.000 7.477 0.000
-2.053 0.000 6.985
Ce Pa Tc
8 4 8
direct
0.045 0.190 0.013
0.045 0.310 0.513
0.246 0.633 0.226
0.246 0.867 0.726
0.754 0.133 0.274
0.754 0.367 0.774
0.955 0.690 0.487
0.955 0.810 0.987
0.417 0.205 0.451
0.417 0.295 0.951
0.583 0.705 0.049
0.583 0.795 0.549
0.164 0.007 0.367
0.164 0.493 0.867
0.383 0.504 0.616
0.383 0.996 0.116
0.617 0.004 0.884
0.617 0.496 0.384
0.836 0.507 0.133
0.836 0.993 0.633
```


12.
Mg2TeP2 after structural relaxation, computed with PBE-GGA.

As for the density of states at the Fermi level: 0.808 states/eV/atom. Its offset from the most stable computed form is 1.83 kcal/mol of atoms. The calculation puts the energy relative to the elements, uncorrected at -236 meV per atom.

Cell and atoms, written as POSCAR:
```
Mg2TeP2
1.0
-2.372 2.372 4.603
2.372 -2.372 4.603
2.372 2.372 -4.603
Mg Te P
2 1 2
direct
0.250 0.750 0.500
0.750 0.250 0.500
0.000 0.000 0.000
0.380 0.380 0.000
0.620 0.620 0.000
```


Record order is preserved below.
Calculated total energy: -4.173, -5.507, -4.478, -4.001, -7.516, -4.655, -3.702, -10.058, -2.925, -7.315, -8.574, -3.666 eV/atom